DFT (PBE) results for a relaxed PuI crystal.

## Properties
Its crystal system is hexagonal. The calculation puts the total magnetization at 6.7 Bohr magnetons per cell. For the energy, the calculation gives -8.467 eV per atom.

a b c (Å): 3.8994 3.8995 4.7588
angles (deg): 90.00 90.00 120.00
Last column: nearest neighbours and their distance in Å.
Fractional coordinates of all 2 atoms:
Pu1 0.3333 0.6666 0.2500  6 I 3.28
I1 0.6667 0.3334 0.7500  6 Pu 3.28